Nd3Ho2Er4 | PBE | optimized geometry

Cell: 6.1653 6.1930 7.9647 Å, 75.18 82.78 80.39°
With the nearest neighbours (Å) after each atom.
Atoms (fractional coordinates):
Nd 0.0000 0.0000 0.0000  6 Er 3.56-3.59, 2 Ho 3.57, 4 Nd 3.57-3.59
Nd 0.1108 0.5572 0.7758  6 Er 3.54-3.59, 3 Ho 3.55-3.57, 3 Nd 3.57-3.59
Nd 0.8892 0.4428 0.2242  6 Er 3.54-3.59, 3 Ho 3.55-3.57, 3 Nd 3.57-3.59
Ho 0.3347 0.6680 0.3340  7 Er 3.54-3.58, 1 Ho 3.55, 4 Nd 3.55-3.57
Ho 0.6653 0.3320 0.6660  7 Er 3.54-3.58, 1 Ho 3.55, 4 Nd 3.55-3.57
Er 0.2248 0.1118 0.5535  4 Er 3.53-3.58, 4 Ho 3.54-3.58, 4 Nd 3.54-3.59
Er 0.4460 0.2223 0.1120  4 Er 3.55-3.58, 5 Nd 3.55-3.59, 3 Ho 3.57
Er 0.5540 0.7777 0.8880  4 Er 3.55-3.58, 5 Nd 3.55-3.59, 3 Ho 3.57
Er 0.7752 0.8882 0.4465  4 Er 3.53-3.58, 4 Ho 3.54-3.58, 4 Nd 3.54-3.59

Values from the calculation:
* theoretical density: 8.23 g/cm³
* ΔE_f: 0.022 eV per atom
* E_tot: -4.61 eV per atom
* distance to the lowest polymorph of the same formula: 0.00 kcal/mol of atoms